Entry 1:
# Li2UTcO8 PBE relaxed
# Volume: 12.12 Å³ per atom
# E_form (uncorrected): -1.90 eV/atom
# Calculated density: 5.46 g/cm³
data_Li2UTcO8
_chemical_formula_sum 'Li4 U2 Tc2 O16'
_symmetry_space_group_name_H-M 'C m m m'
_symmetry_Int_Tables_number 65
_symmetry_space_group_name_Hall '-C 2 2'
_cell_length_a 6.612
_cell_length_b 6.838
_cell_length_c 6.434
_cell_angle_alpha 90.00
_cell_angle_beta 90.00
_cell_angle_gamma 90.00
loop_
_atom_site_label
_atom_site_fract_x
_atom_site_fract_y
_atom_site_fract_z
Li1 0.000 0.000 0.230
U1 0.000 0.500 0.500
Tc1 0.000 0.500 0.000
O1 0.000 0.312 0.226
O2 0.216 0.000 0.500
O3 0.225 0.000 0.000

=====

Entry 2:
# Hf6SbC PBE relaxed
# Volume: 20.48 Å³ per atom
# E_form (uncorrected): -0.33 eV/atom
# Calculated density: 12.21 g/cm³
data_Hf6SbC
_chemical_formula_sum 'Hf18 Sb3 C3'
_symmetry_space_group_name_H-M 'R -3 m'
_symmetry_Int_Tables_number 166
_symmetry_space_group_name_Hall '-R 3 2"'
_cell_length_a 8.6993
_cell_length_b 8.6993
_cell_length_c 7.4986
_cell_angle_alpha 90.00
_cell_angle_beta 90.00
_cell_angle_gamma 120.00
loop_
_atom_site_label
_atom_site_fract_x
_atom_site_fract_y
_atom_site_fract_z
Hf1 0.0756 0.5378 0.3148
Sb1 0.0000 0.0000 0.0000
C1 0.0000 0.0000 0.5000

=====

Entry 3:
# CoCuMo PBE relaxed
# Volume: 12.66 Å³ per atom
# Calculated density: 9.55 g/cm³
# Relative energy among the computed polymorphs: 0.000 eV/atom
data_CoCuMo
_chemical_formula_sum 'Co2 Cu2 Mo2'
_symmetry_space_group_name_H-M 'I m m 2'
_symmetry_Int_Tables_number 44
_cell_length_a 2.646
_cell_length_b 3.694
_cell_length_c 7.770
_cell_angle_alpha 90.00
_cell_angle_beta 90.00
_cell_angle_gamma 90.00
loop_
_symmetry_equiv_pos_as_xyz
'x,y,z'
'-x,-y,z'
'-x,y,z'
'x,-y,z'
'x+1/2,y+1/2,z+1/2'
'-x+1/2,-y+1/2,z+1/2'
'-x+1/2,y+1/2,z+1/2'
'x+1/2,-y+1/2,z+1/2'
loop_
_atom_site_label
_atom_site_fract_x
_atom_site_fract_y
_atom_site_fract_z
Co1 0.000 0.000 0.000
Cu1 0.000 0.000 0.662
Mo1 0.000 0.000 0.334

=====

Entry 4:
# CsNa2Sr PBE relaxed
# Volume: 59.81 Å³ per atom
# Calculated density: 1.85 g/cm³
# Relative energy among the computed polymorphs: 0.154 eV/atom
data_CsNa2Sr
_chemical_formula_sum 'Cs4 Na8 Sr4'
_symmetry_space_group_name_H-M 'I -4 2 d'
_symmetry_Int_Tables_number 122
_symmetry_space_group_name_Hall 'I -4 2bw'
_cell_length_a 10.577
_cell_length_b 10.577
_cell_length_c 8.554
_cell_angle_alpha 90.00
_cell_angle_beta 90.00
_cell_angle_gamma 90.00
loop_
_atom_site_label
_atom_site_fract_x
_atom_site_fract_y
_atom_site_fract_z
Cs1 0.000 0.000 0.000
Na1 0.239 0.750 0.625
Sr1 0.000 0.000 0.500